<w>
PBEsol LaMoCl2, relaxed; space group = P4/mmm
1.0
3.527 0.000 0.000
0.000 3.527 0.000
0.000 0.000 6.692
Mo Cl La
1 2 1
Cartesian
1.764 1.764 3.346 Mo
0.000 0.000 1.578 Cl
0.000 0.000 5.115 Cl
1.764 1.764 0.000 La

<x>
PBEsol LaMoCl2, relaxed; space group = Fm-3m
1.0
-2.932 2.260 3.093
-3.398 -2.485 2.356
0.432 -0.779 4.741
Cl Mo La
2 1 1
Cartesian
-4.423 -0.753 7.643 Cl
-1.474 -0.251 2.548 Cl
-2.949 -0.502 5.095 Mo
0.000 0.000 0.000 La

<x> is the most stable structure; the next one sits 0.101 eV/atom above it.